Entry 1:
Entry from Alexandria via LeMat-Bulk: an optimized crystal structure of HfMgZn2H (GGA-PBE).

Output
Volume in Å³ per atom: 24.14
Crystal system: tetragonal
Total DFT energy (no corrections) in eV per atom: -2.103
DOS at the Fermi energy in states/eV/atom: 1.304
Total magnetic moment in μB/f.u.: 0.00

Unit cell a=4.745 b=4.745 c=5.362 alpha=90.00 beta=90.00 gamma=90.00
Space group P4/mmm (No. 123)
Inequivalent atoms, fractional coordinates:
Hf  0.000  0.000  0.000
Mg  0.000  0.000  0.500
Zn  0.000  0.500  0.500
H  0.500  0.500  0.000



Entry 2:
Entry from Alexandria via LeMat-Bulk: an optimized crystal structure of Hf2MgZnH (GGA-PBE).

Output
Volume in Å³ per atom: 15.99
Crystal system: tetragonal
Total DFT energy (no corrections) in eV per atom: -5.305
Relative energy among the computed polymorphs in eV per atom: 0.000
DOS at the Fermi energy in states/eV/atom: 0.584
Total magnetic moment in μB/f.u.: 0.00

Unit cell a=4.272 b=4.272 c=4.382 alpha=90.00 beta=90.00 gamma=90.00
Space group P4/mmm (No. 123)
Inequivalent atoms, fractional coordinates:
Hf  0.000  0.500  0.000
Mg  0.000  0.000  0.500
Zn  0.500  0.500  0.500
H  0.000  0.000  0.000



Entry 3:
Entry from Alexandria via LeMat-Bulk: an optimized crystal structure of HfMnH4 (GGA-PBE).

Output
Volume in Å³ per atom: 7.53
Crystal system: monoclinic
Total DFT energy (no corrections) in eV per atom: -5.626
Relative energy among the computed polymorphs in eV per atom: 0.000
DOS at the Fermi energy in states/eV/atom: 0.253
Total magnetic moment in μB/f.u.: 2.88

Unit cell a=5.585 b=3.225 c=5.357 alpha=90.00 beta=110.52 gamma=90.00
Space group C2/m (No. 12)
Inequivalent atoms, fractional coordinates:
Hf  0.000  0.000  0.000
Mn  0.000  0.500  0.500
H  0.120  0.500  0.861
H  0.135  0.000  0.405



Entry 4:
Entry from Alexandria via LeMat-Bulk: an optimized crystal structure of HfMn2H6 (GGA-PBE).

Output
Volume in Å³ per atom: 8.12
Crystal system: monoclinic
Total DFT energy (no corrections) in eV per atom: -5.472
DOS at the Fermi energy in states/eV/atom: 0.284
Total magnetic moment in μB/f.u.: 4.83

Unit cell a=8.814 b=3.510 c=5.883 alpha=90.00 beta=126.59 gamma=90.00
Space group C2/m (No. 12)
Inequivalent atoms, fractional coordinates:
Hf  0.000  0.000  0.000
Mn  0.190  0.000  0.595
H  0.041  0.000  0.698
H  0.145  0.500  0.049
H  0.225  0.500  0.617



Entry 5:
Entry from Alexandria via LeMat-Bulk: an optimized crystal structure of Hf2MnH2 (GGA-PBE).

Output
Volume in Å³ per atom: 11.71
Crystal system: tetragonal
Total DFT energy (no corrections) in eV per atom: -7.529
Relative energy among the computed polymorphs in eV per atom: 0.000
DOS at the Fermi energy in states/eV/atom: 0.478
Total magnetic moment in μB/f.u.: 0.12

Unit cell a=3.159 b=3.159 c=11.737 alpha=90.00 beta=90.00 gamma=90.00
Space group I4/mmm (No. 139)
Inequivalent atoms, fractional coordinates:
Hf  0.000  0.000  0.133
Mn  0.000  0.000  0.500
H  0.000  0.500  0.250



Entry 6:
Entry from Alexandria via LeMat-Bulk: an optimized crystal structure of HfMnH4 (GGA-PBE).

Output
Volume in Å³ per atom: 7.94
Crystal system: monoclinic
Total DFT energy (no corrections) in eV per atom: -5.622
Relative energy among the computed polymorphs in eV per atom: 0.004
DOS at the Fermi energy in states/eV/atom: 0.150
Total magnetic moment in μB/f.u.: 0.00

Unit cell a=4.907 b=8.007 c=5.386 alpha=90.00 beta=115.78 gamma=90.00
Space group C2/c (No. 15)
Inequivalent atoms, fractional coordinates:
Hf  0.000  0.125  0.250
Mn  0.000  0.456  0.250
H  0.023  0.367  0.544
H  0.151  0.095  0.662



Entry 7:
Entry from Alexandria via LeMat-Bulk: an optimized crystal structure of Hf5Mn3H12 (GGA-PBE).

Output
Volume in Å³ per atom: 9.73
Crystal system: cubic
Total DFT energy (no corrections) in eV per atom: -6.003
DOS at the Fermi energy in states/eV/atom: 0.351
Total magnetic moment in μB/f.u.: 10.84

Unit cell a=11.590 b=11.590 c=11.590 alpha=90.00 beta=90.00 gamma=90.00
Space group Ia-3d (No. 230)
Inequivalent atoms, fractional coordinates:
Hf  0.000  0.000  0.000
Hf  0.000  0.250  0.375
Mn  0.000  0.250  0.125
H  0.008  0.054  0.162



Entry 8:
Entry from Alexandria via LeMat-Bulk: an optimized crystal structure of HfMn2H2 (GGA-PBE).

Output
Volume in Å³ per atom: 10.06
Crystal system: tetragonal
Total DFT energy (no corrections) in eV per atom: -7.053
DOS at the Fermi energy in states/eV/atom: 0.763
Total magnetic moment in μB/f.u.: 4.44

Unit cell a=3.342 b=3.342 c=9.005 alpha=90.00 beta=90.00 gamma=90.00
Space group I4/mmm (No. 139)
Inequivalent atoms, fractional coordinates:
Hf  0.000  0.000  0.000
Mn  0.000  0.000  0.337
H  0.000  0.500  0.250



Entry 9:
Entry from Alexandria via LeMat-Bulk: an optimized crystal structure of HfMnH (GGA-PBE).

Output
Volume in Å³ per atom: 11.83
Crystal system: orthorhombic
Total DFT energy (no corrections) in eV per atom: -7.533
DOS at the Fermi energy in states/eV/atom: 0.648
Total magnetic moment in μB/f.u.: 0.00

Unit cell a=7.204 b=4.490 c=4.391 alpha=90.00 beta=90.00 gamma=90.00
Space group Aem2 (No. 39)
Inequivalent atoms, fractional coordinates:
Hf  0.169  0.250  0.000
Mn  0.500  0.000  0.249
H  0.116  0.250  0.500



Entry 10:
Entry from Alexandria via LeMat-Bulk: an optimized crystal structure of Hf2MnH2 (GGA-PBE).

Output
Volume in Å³ per atom: 12.08
Crystal system: tetragonal
Total DFT energy (no corrections) in eV per atom: -7.380
Relative energy among the computed polymorphs in eV per atom: 0.149
DOS at the Fermi energy in states/eV/atom: 0.540
Total magnetic moment in μB/f.u.: 0.21

Unit cell a=3.106 b=3.106 c=6.260 alpha=90.00 beta=90.00 gamma=90.00
Space group P4/mmm (No. 123)
Inequivalent atoms, fractional coordinates:
Hf  0.000  0.000  0.249
Mn  0.500  0.500  0.500
H  0.000  0.500  0.000



Entry 11:
Entry from Alexandria via LeMat-Bulk: an optimized crystal structure of HfMn2MoH (GGA-PBE).

Output
Volume in Å³ per atom: 12.68
Crystal system: tetragonal
Total DFT energy (no corrections) in eV per atom: -8.393
DOS at the Fermi energy in states/eV/atom: 1.197
Total magnetic moment in μB/f.u.: 4.72

Unit cell a=3.872 b=3.872 c=4.228 alpha=90.00 beta=90.00 gamma=90.00
Space group P4/mmm (No. 123)
Inequivalent atoms, fractional coordinates:
Hf  0.000  0.000  0.000
Mn  0.000  0.500  0.500
Mo  0.500  0.500  0.000
H  0.500  0.500  0.500



Entry 12:
Entry from Alexandria via LeMat-Bulk: an optimized crystal structure of HfMn2NbH (GGA-PBE).

Output
Volume in Å³ per atom: 19.87
Crystal system: tetragonal
Total DFT energy (no corrections) in eV per atom: -5.855
DOS at the Fermi energy in states/eV/atom: 2.008
Total magnetic moment in μB/f.u.: 0.04

Unit cell a=4.431 b=4.431 c=5.059 alpha=90.00 beta=90.00 gamma=90.00
Space group P4/mmm (No. 123)
Inequivalent atoms, fractional coordinates:
Hf  0.000  0.000  0.000
Mn  0.000  0.500  0.000
Nb  0.000  0.000  0.500
H  0.500  0.500  0.500



Entry 13:
Entry from Alexandria via LeMat-Bulk: an optimized crystal structure of Hf2MnNbH (GGA-PBE).

Output
Volume in Å³ per atom: 14.85
Crystal system: tetragonal
Total DFT energy (no corrections) in eV per atom: -8.549
DOS at the Fermi energy in states/eV/atom: 1.584
Total magnetic moment in μB/f.u.: 1.12

Unit cell a=4.654 b=4.654 c=3.427 alpha=90.00 beta=90.00 gamma=90.00
Space group P4/mmm (No. 123)
Inequivalent atoms, fractional coordinates:
Hf  0.000  0.500  0.000
Mn  0.000  0.000  0.500
Nb  0.500  0.500  0.500
H  0.000  0.000  0.000



Entry 14:
Entry from Alexandria via LeMat-Bulk: an optimized crystal structure of HfMnNi2H (GGA-PBE).

Output
Volume in Å³ per atom: 10.97
Crystal system: tetragonal
Total DFT energy (no corrections) in eV per atom: -7.041
DOS at the Fermi energy in states/eV/atom: 0.470
Total magnetic moment in μB/f.u.: 1.92

Unit cell a=3.736 b=3.736 c=3.930 alpha=90.00 beta=90.00 gamma=90.00
Space group P4/mmm (No. 123)
Inequivalent atoms, fractional coordinates:
Hf  0.000  0.000  0.000
Mn  0.500  0.500  0.000
Ni  0.000  0.500  0.500
H  0.500  0.500  0.500



Entry 15:
Entry from Alexandria via LeMat-Bulk: an optimized crystal structure of HfMnHOs2 (GGA-PBE).

Output
Volume in Å³ per atom: 12.74
Crystal system: tetragonal
Total DFT energy (no corrections) in eV per atom: -9.106
DOS at the Fermi energy in states/eV/atom: 0.526
Total magnetic moment in μB/f.u.: 3.33

Unit cell a=4.128 b=4.128 c=3.740 alpha=90.00 beta=90.00 gamma=90.00
Space group P4/mmm (No. 123)
Inequivalent atoms, fractional coordinates:
Hf  0.000  0.000  0.000
Mn  0.500  0.500  0.000
H  0.500  0.500  0.500
Os  0.000  0.500  0.500



Entry 16:
Entry from Alexandria via LeMat-Bulk: an optimized crystal structure of Hf2MnHOs (GGA-PBE).

Output
Volume in Å³ per atom: 13.69
Crystal system: tetragonal
Total DFT energy (no corrections) in eV per atom: -9.160
DOS at the Fermi energy in states/eV/atom: 0.472
Total magnetic moment in μB/f.u.: 0.44

Unit cell a=4.552 b=4.552 c=3.303 alpha=90.00 beta=90.00 gamma=90.00
Space group P4/mmm (No. 123)
Inequivalent atoms, fractional coordinates:
Hf  0.000  0.500  0.000
Mn  0.000  0.000  0.500
H  0.000  0.000  0.000
Os  0.500  0.500  0.500



Entry 17:
Entry from Alexandria via LeMat-Bulk: an optimized crystal structure of Hf2MnHPd (GGA-PBE).

Output
Volume in Å³ per atom: 14.08
Crystal system: tetragonal
Total DFT energy (no corrections) in eV per atom: -7.891
DOS at the Fermi energy in states/eV/atom: 0.751
Total magnetic moment in μB/f.u.: 0.45

Unit cell a=4.549 b=4.549 c=3.403 alpha=90.00 beta=90.00 gamma=90.00
Space group P4/mmm (No. 123)
Inequivalent atoms, fractional coordinates:
Hf  0.000  0.500  0.000
Mn  0.000  0.000  0.500
H  0.000  0.000  0.000
Pd  0.500  0.500  0.500



Entry 18:
Entry from Alexandria via LeMat-Bulk: an optimized crystal structure of HfMn2HPt (GGA-PBE).

Output
Volume in Å³ per atom: 12.60
Crystal system: tetragonal
Total DFT energy (no corrections) in eV per atom: -7.897
DOS at the Fermi energy in states/eV/atom: 0.616
Total magnetic moment in μB/f.u.: 4.93

Unit cell a=3.867 b=3.867 c=4.214 alpha=90.00 beta=90.00 gamma=90.00
Space group P4/mmm (No. 123)
Inequivalent atoms, fractional coordinates:
Hf  0.000  0.000  0.000
Mn  0.000  0.500  0.500
H  0.000  0.000  0.500
Pt  0.500  0.500  0.000



Entry 19:
Entry from Alexandria via LeMat-Bulk: an optimized crystal structure of Hf2MnReH (GGA-PBE).

Output
Volume in Å³ per atom: 13.96
Crystal system: tetragonal
Total DFT energy (no corrections) in eV per atom: -9.253
DOS at the Fermi energy in states/eV/atom: 0.795
Total magnetic moment in μB/f.u.: 1.11

Unit cell a=4.568 b=4.568 c=3.346 alpha=90.00 beta=90.00 gamma=90.00
Space group P4/mmm (No. 123)
Inequivalent atoms, fractional coordinates:
Hf  0.000  0.500  0.000
Mn  0.000  0.000  0.500
Re  0.500  0.500  0.500
H  0.000  0.000  0.000



Entry 20:
Entry from Alexandria via LeMat-Bulk: an optimized crystal structure of HfMn2ReH (GGA-PBE).

Output
Volume in Å³ per atom: 12.38
Crystal system: tetragonal
Total DFT energy (no corrections) in eV per atom: -8.756
DOS at the Fermi energy in states/eV/atom: 1.035
Total magnetic moment in μB/f.u.: 4.39

Unit cell a=3.877 b=3.877 c=4.119 alpha=90.00 beta=90.00 gamma=90.00
Space group P4/mmm (No. 123)
Inequivalent atoms, fractional coordinates:
Hf  0.000  0.000  0.000
Mn  0.000  0.500  0.500
Re  0.500  0.500  0.000
H  0.500  0.500  0.500



Entry 21:
Entry from Alexandria via LeMat-Bulk: an optimized crystal structure of HfMnHRh2 (GGA-PBE).

Output
Volume in Å³ per atom: 12.73
Crystal system: tetragonal
Total DFT energy (no corrections) in eV per atom: -7.938
Relative energy among the computed polymorphs in eV per atom: 0.000
DOS at the Fermi energy in states/eV/atom: 0.653
Total magnetic moment in μB/f.u.: 3.69

Unit cell a=4.092 b=4.092 c=3.802 alpha=90.00 beta=90.00 gamma=90.00
Space group P4/mmm (No. 123)
Inequivalent atoms, fractional coordinates:
Hf  0.000  0.000  0.000
Mn  0.500  0.500  0.000
H  0.500  0.500  0.500
Rh  0.000  0.500  0.500



Entry 22:
Entry from Alexandria via LeMat-Bulk: an optimized crystal structure of HfMnHRh2 (GGA-PBE).

Output
Volume in Å³ per atom: 12.88
Crystal system: tetragonal
Total DFT energy (no corrections) in eV per atom: -7.848
Relative energy among the computed polymorphs in eV per atom: 0.090
DOS at the Fermi energy in states/eV/atom: 0.703
Total magnetic moment in μB/f.u.: 3.60

Unit cell a=4.012 b=4.012 c=4.001 alpha=90.00 beta=90.00 gamma=90.00
Space group P4/mmm (No. 123)
Inequivalent atoms, fractional coordinates:
Hf  0.000  0.000  0.000
Mn  0.500  0.500  0.000
H  0.000  0.000  0.500
Rh  0.000  0.500  0.500



Entry 23:
Entry from Alexandria via LeMat-Bulk: an optimized crystal structure of Hf2MnHRh (GGA-PBE).

Output
Volume in Å³ per atom: 13.69
Crystal system: tetragonal
Total DFT energy (no corrections) in eV per atom: -8.444
DOS at the Fermi energy in states/eV/atom: 0.533
Total magnetic moment in μB/f.u.: 0.16

Unit cell a=4.490 b=4.490 c=3.396 alpha=90.00 beta=90.00 gamma=90.00
Space group P4/mmm (No. 123)
Inequivalent atoms, fractional coordinates:
Hf  0.000  0.500  0.000
Mn  0.000  0.000  0.500
H  0.000  0.000  0.000
Rh  0.500  0.500  0.500